Crystalline Rb5MoO4F2 at its relaxed geometry. Source: Alexandria, functional PBE+U.

The structure in CIF format:
```
data_Rb5MoO4F2
_symmetry_space_group_name_H-M 'A m m 2'
_symmetry_Int_Tables_number 38
_cell_length_a 8.1114
_cell_length_b 10.7615
_cell_length_c 6.6292
_cell_angle_alpha 90.00
_cell_angle_beta 90.00
_cell_angle_gamma 90.00
loop_
_symmetry_equiv_pos_as_xyz
'x,y,z'
'-x,-y,z'
'-x,y,z'
'x,-y,z'
'x,y+1/2,z+1/2'
'-x,-y+1/2,z+1/2'
'-x,y+1/2,z+1/2'
'x,-y+1/2,z+1/2'
loop_
_atom_site_label
_atom_site_type_symbol
_atom_site_fract_x
_atom_site_fract_y
_atom_site_fract_z
_atom_site_occupancy
Rb1 Rb 0.0000 0.0000 0.0000 1
Rb2 Rb 0.2602 0.1834 0.4966 1
Mo1 Mo 0.5000 0.0000 0.0144 1
O1 O 0.3074 0.0000 0.1725 1
O2 O 0.5000 0.1462 0.8593 1
F1 F 0.0000 0.2094 0.7623 1
```

V (Å³/atom): 24.111
Total DFT energy (no corrections) (eV/cell): -118.48
Magnetic moment (μB per formula unit): 1.00